Here is a geometry-optimized HoNi2B2 structure from Alexandria via LeMat-Bulk. Energies are from PBE-GGA.

a b c (Å): 3.239 3.925 5.070
angles (deg): 102.81 108.63 90.00
Fractional coordinates of all 5 atoms:
Ni  0.667  0.592  0.334
Ho  0.000  0.000  0.000
Ni  0.333  0.408  0.666
B  0.267  0.878  0.533
B  0.733  0.122  0.467

Calculated volume = 11.877 Å³ per atom
DFT formation energy = -0.45 eV per atom
M_tot = 0.00 Bohr magnetons per cell
Space-group type = C2/m